Entry 1:
Ho5Th2Sc5 (PBE, optimized geometry); SG = C2/m, No. 12
1.0
-3.036 1.632 0.485
-1.736 -4.720 -7.476
-1.390 -5.876 11.067
Ho Th Sc
5 2 5
Cartesian
-2.213 -2.122 5.776
-3.386 -7.199 3.021
-3.546 -8.428 6.154
-2.776 -1.766 1.055
-2.615 -0.536 -2.078
-1.256 -4.672 7.857
-4.906 -4.292 -3.781
-3.813 -5.071 5.683
-4.360 -4.678 0.936
-2.349 -3.893 -1.607
-1.802 -4.286 3.140
0.000 0.000 0.000

---

Entry 2:
HoTh3Sc (PBE, optimized geometry); SG = R-3, No. 148
1.0
6.405 -1.748 -1.255
1.468 6.475 -1.255
1.468 0.881 6.536
Th Ho Sc
6 2 2
Cartesian
3.882 4.169 -0.885
3.836 5.978 2.354
5.505 -0.370 1.673
5.459 1.439 4.911
2.261 3.194 4.234
7.079 2.414 -0.207
1.207 0.725 0.520
8.134 4.884 3.506
5.806 3.486 2.503
3.535 2.122 1.524

---

Entry 3:
Ho3ThSc6 (PBE, optimized geometry); SG = R32, No. 155
1.0
8.164 0.000 4.332
2.933 7.619 4.332
2.004 1.376 6.082
Sc Ho Th
6 3 1
Cartesian
9.608 4.723 8.176
7.023 6.697 9.780
3.312 4.149 6.882
5.906 2.197 5.291
5.152 7.270 6.740
7.792 1.601 8.331
2.805 1.926 4.573
7.276 4.996 6.007
6.042 4.149 8.331
10.589 7.271 9.622

---

Entry 4:
HoTh3Sc (PBE, optimized geometry); SG = P-1, No. 2
1.0
5.976 0.561 -0.775
1.341 9.071 1.148
-0.404 1.297 5.957
Th Sc Ho
6 2 2
Cartesian
5.569 6.370 4.118
1.835 1.562 3.937
6.455 9.440 5.585
1.344 4.558 2.212
0.458 1.489 0.745
5.077 9.367 2.393
4.612 3.318 2.682
2.301 7.610 3.648
2.819 4.593 5.408
4.094 6.335 0.922

---

Entry 5:
HoTh2Sc9 (PBE, optimized geometry); SG = P6/mmm, No. 191
1.0
-1.712 -1.401 2.365
7.860 2.077 6.919
-7.836 7.100 -1.465
Sc Th Ho
9 2 1
Cartesian
4.320 2.235 6.668
-3.918 3.550 -0.733
-6.008 5.541 1.151
3.930 1.038 3.460
0.492 1.224 3.298
0.012 4.589 2.727
0.504 5.693 5.954
-2.192 2.083 1.865
-2.181 6.552 4.521
2.628 3.751 4.125
-2.604 5.426 1.330
0.000 0.000 0.000

---

Entry 6:
Ho12Th5Sc (PBE, optimized geometry); SG = Cmmm, No. 65
1.0
14.933 0.000 -0.005
7.466 7.481 -0.003
0.001 0.000 5.017
Ho Th Sc
12 5 1
Cartesian
5.038 2.516 2.507
9.897 2.516 2.505
9.889 5.032 5.014
12.504 4.965 2.504
17.363 4.965 2.503
9.886 0.000 -0.003
12.512 2.450 -0.004
12.463 0.000 2.505
5.046 5.032 -0.002
17.355 2.450 5.011
2.472 0.000 2.507
5.048 0.000 5.015
14.934 4.949 5.012
7.467 0.000 2.506
7.466 2.533 -0.003
14.934 2.438 2.503
7.467 5.044 2.506
0.000 0.000 0.000

---

Formation energy per entry: 54; 280; 424; 40; 121; 29 meV per atom